No. 1
## Pm3Dy6Ho2Zr (PBE)

Data for a relaxed structure of Pm3Dy6Ho2Zr.

Cell: 6.1182 6.1182 11.6857 Å, 94.98 94.98 119.92°
Positions (direct):
Dy  0.9195  0.5928  0.7581
Dy  0.5928  0.9195  0.7581
Dy  0.0805  0.4072  0.2419
Dy  0.4072  0.0805  0.2419
Dy  0.2460  0.2460  0.7584
Dy  0.7540  0.7540  0.2416
Pm  0.1662  0.8338  0.5000
Pm  0.5000  0.5000  0.5000
Pm  0.8338  0.1662  0.5000
Ho  0.6668  0.3332  0.0000
Ho  0.3332  0.6668  0.0000
Zr  0.0000  0.0000  0.0000

Properties
Formation energy (kJ/mol of atoms): 4
Spin magnetization (Bohr magnetons per cell): 0.000
V (A^3/atom): 31.11
SG: C2/m, No. 12
Total DFT energy (no corrections) (eV per atom): -4.92

No. 2
## KBiN2O (PBE)

Data for a relaxed structure of KBiN2O.

Cell: 4.7155 4.7155 4.4560 Å, 90.00 90.00 90.00°
Last column: magnetic moment on the atom in μB.
Positions (direct):
O  0.0000  0.0000  0.5000  0.69
N  0.5000  0.0000  0.0000  1.32
N  0.0000  0.5000  0.0000  1.32
K  0.0000  0.0000  0.0000  0.15
Bi  0.5000  0.5000  0.5000  -0.56

Properties
Spin magnetization (Bohr magnetons per cell): 4.007
V (A^3/atom): 19.82
SG: P4/mmm, No. 123
Total DFT energy (no corrections) (eV per atom): -3.36

No. 3
## KZrAl2 (PBE)

Data for a relaxed structure of KZrAl2.

Cell: 10.9311 10.9311 10.9311 Å, 16.77 16.77 16.77°
Positions (direct):
Al  0.0103  0.0103  0.0103
Al  0.4897  0.4897  0.4897
K  0.2500  0.2500  0.2500
Zr  0.7500  0.7500  0.7500

Properties
Formation energy (kJ/mol of atoms): 20
Spin magnetization (Bohr magnetons per cell): 0.000
V (A^3/atom): 23.72
SG: R-3m, No. 166
Total DFT energy (no corrections) (eV per atom): -4.08

No. 4
## KScMo (PBE)

Data for a relaxed structure of KScMo.

Cell: 8.9007 8.9007 8.9007 Å, 160.82 160.82 27.26°
Positions (direct):
Sc  0.6974  0.6974  0.0000
K  0.9893  0.9893  0.0000
Mo  0.3134  0.3134  0.0000

Properties
Formation energy (kJ/mol of atoms): 77
Spin magnetization (Bohr magnetons per cell): 0.000
V (A^3/atom): 25.37
SG: I4mm, No. 107
Total DFT energy (no corrections) (eV per atom): -5.29

No. 5
## Sm3Tc2B9 (PBE)

Data for a relaxed structure of Sm3Tc2B9.

Cell: 3.1393 8.1426 8.1426 Å, 61.50 78.89 78.89°
Positions (direct):
Sm  0.7345  0.2655  0.2655
Sm  0.2655  0.7345  0.7345
Sm  0.0000  0.0000  0.0000
B  0.0000  0.5000  0.5000
B  0.6356  0.0564  0.6723
B  0.6356  0.6723  0.0564
B  0.1238  0.1295  0.6230
B  0.3644  0.3277  0.9436
B  0.8762  0.3770  0.8705
B  0.1238  0.6230  0.1295
B  0.8762  0.8705  0.3770
B  0.3644  0.9436  0.3277
Tc  0.5000  0.6707  0.3293
Tc  0.5000  0.3293  0.6707

Properties
Formation energy (kJ/mol of atoms): -23
Spin magnetization (Bohr magnetons per cell): 0.000
V (A^3/atom): 12.73
SG: Immm, No. 71
Total DFT energy (no corrections) (eV per atom): -7.02

No. 6
## TlRhPb (PBE)

Data for a relaxed structure of TlRhPb.

Cell: 4.6886 4.6886 4.6886 Å, 60.00 60.00 60.00°
Positions (direct):
Pb  0.5000  0.5000  0.5000
Rh  0.7500  0.7500  0.7500
Tl  0.0000  0.0000  0.0000

Properties
Formation energy (kJ/mol of atoms): 2
Spin magnetization (Bohr magnetons per cell): 0.000
V (A^3/atom): 24.29
SG: F-43m, No. 216
Total DFT energy (no corrections) (eV per atom): -4.46

No. 7
## ZrPaC2 (PBE)

Data for a relaxed structure of ZrPaC2.

Cell: 3.4557 3.4557 6.1634 Å, 73.72 73.72 60.00°
Positions (direct):
Pa  0.6700  0.6700  0.9901
C  0.2486  0.2486  0.2542
C  0.0845  0.0845  0.7464
Zr  0.4969  0.4969  0.5092

Properties
Formation energy (kJ/mol of atoms): -29
Spin magnetization (Bohr magnetons per cell): 0.000
V (A^3/atom): 15.08
SG: R3m, No. 160
Total DFT energy (no corrections) (eV per atom): -9.42

No. 8
## NpH2Cl6 (PBE)

Data for a relaxed structure of NpH2Cl6.

Cell: 6.0890 6.0890 7.7438 Å, 66.85 66.85 60.00°
Last column: magnetic moment on the atom in μB.
Positions (direct):
Cl  0.4485  0.0472  0.7705  -0.03
Cl  0.2951  0.5808  0.2301  -0.03
Cl  0.5808  0.8940  0.2301  -0.03
Cl  0.8940  0.2951  0.2301  -0.03
Cl  0.7338  0.4485  0.7705  -0.03
Cl  0.0472  0.7338  0.7705  -0.03
Np  0.3332  0.3332  0.0004  3.15
H  0.5936  0.5936  0.2193  0.01
H  0.7396  0.7396  0.7813  0.01

Properties
Spin magnetization (Bohr magnetons per cell): 3.000
V (A^3/atom): 24.62
SG: R3, No. 146
Total DFT energy (no corrections) (eV per atom): -4.30